First-principles (PBE with a Hubbard U) data for an optimized crystal structure of LiNpMnO4, as listed in the Alexandria database.

Space-group type: No. 74
Magnetization, μB/cell: 14.00
Theoretical density, g/cm3: 6.51
Energy, eV/atom: -8.41
D(E_F), states/eV/atom: 0.3067

Structure (extended XYZ):
```
14
Lattice="-5.8770 -2.5032 0.2945 4.6035 -3.0016 -3.0715 -0.0553 0.9424 6.9069" Properties=species:S:1:pos:R:3 pbc="T T T"
Li -0.6644 -2.2812 2.0649
Li 2.2741 -1.0296 1.9177
Np -2.9662 -0.7804 3.6007
Np -2.9385 -1.2516 0.1472
Mn -1.6920 -4.3343 -1.1811
Mn 0.3633 -0.2281 5.3110
O -2.1772 -2.6084 3.8069
O -1.6343 -0.4885 1.8125
O -4.2456 -1.6007 1.9434
O -2.1503 -3.0664 0.4507
O 0.8215 -1.4960 3.6791
O 0.3055 -4.0739 2.3173
O 2.9168 -2.9617 2.1864
O 0.8484 -1.9539 0.3229
```